Here is a geometry-optimized GdDyMnGa structure from Alexandria. Energies are from PBE-GGA.

Cell and atoms, written as CIF:
```
data_GdDyMnGa
_cell_length_a 5.0634
_cell_length_b 5.0634
_cell_length_c 5.0634
_cell_angle_alpha 60.00
_cell_angle_beta 60.00
_cell_angle_gamma 60.00
_space_group_name_H-M_alt 'P 1'
_space_group_IT_number 1
loop_
_space_group_symop_operation_xyz
'x,y,z'
loop_
_atom_site_label
_atom_site_type_symbol
_atom_site_fract_x
_atom_site_fract_y
_atom_site_fract_z
Gd1 Gd 0.2500 0.2500 0.2500
Mn1 Mn 0.0000 0.0000 0.0000
Dy1 Dy 0.7500 0.7500 0.7500
Ga1 Ga 0.5000 0.5000 0.5000
```

Calculated values
Uncorrected energy ... -7.857 eV/atom
SG ... No. 216


Here is a geometry-optimized GdDyGaNi structure from Alexandria. Energies are from PBE-GGA.

Cell and atoms, written as CIF:
```
data_GdDyGaNi
_cell_length_a 4.9609
_cell_length_b 4.9609
_cell_length_c 4.9609
_cell_angle_alpha 60.00
_cell_angle_beta 60.00
_cell_angle_gamma 60.00
_space_group_name_H-M_alt 'P 1'
_space_group_IT_number 1
loop_
_space_group_symop_operation_xyz
'x,y,z'
loop_
_atom_site_label
_atom_site_type_symbol
_atom_site_fract_x
_atom_site_fract_y
_atom_site_fract_z
Dy1 Dy 0.7500 0.7500 0.7500
Ni1 Ni 0.0000 0.0000 0.0000
Gd1 Gd 0.2500 0.2500 0.2500
Ga1 Ga 0.5000 0.5000 0.5000
```

Calculated values
Uncorrected energy ... -7.305 eV/atom
SG ... No. 216


Here is a geometry-optimized PmGdDyGa structure from Alexandria. Energies are from PBE-GGA.

Cell and atoms, written as CIF:
```
data_PmGdDyGa
_cell_length_a 5.3691
_cell_length_b 5.3691
_cell_length_c 5.3691
_cell_angle_alpha 60.00
_cell_angle_beta 60.00
_cell_angle_gamma 60.00
_space_group_name_H-M_alt 'P 1'
_space_group_IT_number 1
loop_
_space_group_symop_operation_xyz
'x,y,z'
loop_
_atom_site_label
_atom_site_type_symbol
_atom_site_fract_x
_atom_site_fract_y
_atom_site_fract_z
Pm1 Pm 0.7500 0.7500 0.7500
Dy1 Dy 0.0000 0.0000 0.0000
Ga1 Ga 0.2500 0.2500 0.2500
Gd1 Gd 0.5000 0.5000 0.5000
```

Calculated values
Uncorrected energy ... -6.680 eV/atom
SG ... No. 216


Here is a geometry-optimized GdDyGaRh structure from Alexandria. Energies are from PBE-GGA.

Cell and atoms, written as CIF:
```
data_GdDyGaRh
_cell_length_a 4.9881
_cell_length_b 4.9881
_cell_length_c 4.9881
_cell_angle_alpha 60.00
_cell_angle_beta 60.00
_cell_angle_gamma 60.00
_space_group_name_H-M_alt 'P 1'
_space_group_IT_number 1
loop_
_space_group_symop_operation_xyz
'x,y,z'
loop_
_atom_site_label
_atom_site_type_symbol
_atom_site_fract_x
_atom_site_fract_y
_atom_site_fract_z
Dy1 Dy 0.5000 0.5000 0.5000
Rh1 Rh 0.7500 0.7500 0.7500
Gd1 Gd 0.0000 0.0000 0.0000
Ga1 Ga 0.2500 0.2500 0.2500
```

Calculated values
Uncorrected energy ... -7.923 eV/atom
SG ... No. 216


Here is a geometry-optimized GdDyGaSn structure from Alexandria. Energies are from PBE-GGA.

Cell and atoms, written as CIF:
```
data_GdDyGaSn
_cell_length_a 5.2397
_cell_length_b 5.2397
_cell_length_c 5.2397
_cell_angle_alpha 60.00
_cell_angle_beta 60.00
_cell_angle_gamma 60.00
_space_group_name_H-M_alt 'P 1'
_space_group_IT_number 1
loop_
_space_group_symop_operation_xyz
'x,y,z'
loop_
_atom_site_label
_atom_site_type_symbol
_atom_site_fract_x
_atom_site_fract_y
_atom_site_fract_z
Ga1 Ga 0.0000 0.0000 0.0000
Sn1 Sn 0.5000 0.5000 0.5000
Dy1 Dy 0.2500 0.2500 0.2500
Gd1 Gd 0.7500 0.7500 0.7500
```

Calculated values
Uncorrected energy ... -6.992 eV/atom
SG ... No. 216


Here is a geometry-optimized GdDyTlGa structure from Alexandria. Energies are from PBE-GGA.

Cell and atoms, written as CIF:
```
data_GdDyTlGa
_cell_length_a 5.2497
_cell_length_b 5.2497
_cell_length_c 5.2497
_cell_angle_alpha 60.00
_cell_angle_beta 60.00
_cell_angle_gamma 60.00
_space_group_name_H-M_alt 'P 1'
_space_group_IT_number 1
loop_
_space_group_symop_operation_xyz
'x,y,z'
loop_
_atom_site_label
_atom_site_type_symbol
_atom_site_fract_x
_atom_site_fract_y
_atom_site_fract_z
Tl1 Tl 0.7500 0.7500 0.7500
Dy1 Dy 0.0000 0.0000 0.0000
Gd1 Gd 0.5000 0.5000 0.5000
Ga1 Ga 0.2500 0.2500 0.2500
```

Calculated values
Uncorrected energy ... -6.457 eV/atom
SG ... No. 216


Here is a geometry-optimized GdDyTmGa structure from Alexandria. Energies are from PBE-GGA.

Cell and atoms, written as CIF:
```
data_GdDyTmGa
_cell_length_a 5.3048
_cell_length_b 5.3048
_cell_length_c 5.3048
_cell_angle_alpha 60.00
_cell_angle_beta 60.00
_cell_angle_gamma 60.00
_space_group_name_H-M_alt 'P 1'
_space_group_IT_number 1
loop_
_space_group_symop_operation_xyz
'x,y,z'
loop_
_atom_site_label
_atom_site_type_symbol
_atom_site_fract_x
_atom_site_fract_y
_atom_site_fract_z
Gd1 Gd 0.5000 0.5000 0.5000
Ga1 Ga 0.2500 0.2500 0.2500
Tm1 Tm 0.7500 0.7500 0.7500
Dy1 Dy 0.0000 0.0000 0.0000
```

Calculated values
Uncorrected energy ... -6.658 eV/atom
SG ... No. 216


Here is a geometry-optimized Dy2Ga3Ge structure from Alexandria. Energies are from PBE-GGA.

Cell and atoms, written as CIF:
```
data_Dy2Ga3Ge
_cell_length_a 4.0704
_cell_length_b 4.2046
_cell_length_c 7.2661
_cell_angle_alpha 90.00
_cell_angle_beta 90.00
_cell_angle_gamma 90.00
_space_group_name_H-M_alt 'P 1'
_space_group_IT_number 1
loop_
_space_group_symop_operation_xyz
'x,y,z'
loop_
_atom_site_label
_atom_site_type_symbol
_atom_site_fract_x
_atom_site_fract_y
_atom_site_fract_z
Ge1 Ge 0.5000 0.5000 0.3362
Dy1 Dy 0.0000 0.0000 0.4969
Dy2 Dy 0.0000 0.5000 0.0035
Ga1 Ga 0.5000 0.5000 0.6714
Ga2 Ga 0.5000 0.0000 0.1620
Ga3 Ga 0.5000 0.0000 0.8300
```

Calculated values
Uncorrected energy ... -4.460 eV/atom
SG ... No. 25